Entry 1:
Below is a relaxed Ac2CeThS4 crystal, with properties calculated at the GGA-PBE level.

The structure in CIF format:
```
data_Ac2CeThS4
_chemical_formula_sum 'Ac2 Ce1 Th1 S4'
_cell_length_a 7.1868
_cell_length_b 4.1579
_cell_length_c 7.2631
_cell_angle_alpha 90.00
_cell_angle_beta 109.26
_cell_angle_gamma 90.00
_symmetry_space_group_name_H-M 'P 1 2/m 1'
_symmetry_Int_Tables_number 10
_symmetry_space_group_name_Hall '-P 2y'
loop_
_atom_site_label
_atom_site_type_symbol
_atom_site_fract_x
_atom_site_fract_y
_atom_site_fract_z
Ac1 Ac 0.0000 0.0000 0.0000
Ac2 Ac 0.5000 0.5000 0.0000
Ce1 Ce 0.0000 0.5000 0.5000
Th1 Th 0.5000 0.0000 0.5000
S1 S 0.2439 0.0000 0.7322
S2 S 0.2553 0.5000 0.2674
```

## Properties
ΔE_f (raw) = -1.951 eV/atom
volume = 25.61 Å³/atom

***

Entry 2:
Below is a relaxed Ca4H crystal, with properties calculated at the GGA-PBE level.

The structure in CIF format:
```
data_Ca4H
_chemical_formula_sum 'Ca4 H1'
_cell_length_a 5.3887
_cell_length_b 5.3887
_cell_length_c 5.3887
_cell_angle_alpha 90.00
_cell_angle_beta 90.00
_cell_angle_gamma 90.00
_symmetry_space_group_name_H-M 'P m -3 m'
_symmetry_Int_Tables_number 221
_symmetry_space_group_name_Hall '-P 4 2 3'
loop_
_atom_site_label
_atom_site_type_symbol
_atom_site_fract_x
_atom_site_fract_y
_atom_site_fract_z
Ca1 Ca 0.0000 0.0000 0.0000
Ca2 Ca 0.0000 0.5000 0.5000
H1 H 0.5000 0.5000 0.5000
```

## Properties
raw total energy = -11.89 eV/cell
volume = 31.30 Å³/atom

***

Entry 3:
Below is a relaxed Hf2Ti7In crystal, with properties calculated at the GGA-PBE level.

The structure in CIF format:
```
data_Hf2Ti7In
_chemical_formula_sum 'Hf4 Ti14 In2'
_cell_length_a 5.3971
_cell_length_b 23.9995
_cell_length_c 2.8967
_cell_angle_alpha 90.00
_cell_angle_beta 90.00
_cell_angle_gamma 90.00
_symmetry_space_group_name_H-M 'C m m m'
_symmetry_Int_Tables_number 65
_symmetry_space_group_name_Hall '-C 2 2'
loop_
_atom_site_label
_atom_site_type_symbol
_atom_site_fract_x
_atom_site_fract_y
_atom_site_fract_z
Hf1 Hf 0.0000 0.2057 0.0000
Ti1 Ti 0.0000 0.0000 0.0000
Ti2 Ti 0.0000 0.3131 0.5000
Ti3 Ti 0.2461 0.4003 0.0000
In1 In 0.0000 0.5000 0.5000
```

## Properties
energy of formation = 11.7 kJ per mole of atoms
volume = 18.76 Å³/atom

***

Entry 4:
Below is a relaxed HoMgCo2H6 crystal, with properties calculated at the GGA-PBE level.

The structure in CIF format:
```
data_HoMgCo2H6
_chemical_formula_sum 'Ho3 Mg3 Co6 H18'
_cell_length_a 4.3628
_cell_length_b 4.3628
_cell_length_c 14.9250
_cell_angle_alpha 90.00
_cell_angle_beta 90.00
_cell_angle_gamma 120.00
_symmetry_space_group_name_H-M 'R -3 m'
_symmetry_Int_Tables_number 166
_symmetry_space_group_name_Hall '-R 3 2"'
loop_
_atom_site_label
_atom_site_type_symbol
_atom_site_fract_x
_atom_site_fract_y
_atom_site_fract_z
Ho1 Ho 0.0000 0.0000 0.0000
Mg1 Mg 0.0000 0.0000 0.5000
Co1 Co 0.0000 0.0000 0.2068
H1 H 0.0147 0.5074 0.9371
```

## Properties
raw total energy = -128.71 eV/cell
volume = 8.20 Å³/atom

***

Entry 5:
Below is a relaxed Ca4TeI5 crystal, with properties calculated at the GGA-PBE level.

The structure in CIF format:
```
data_Ca4TeI5
_chemical_formula_sum 'Ca8 Te2 I10'
_cell_length_a 19.6559
_cell_length_b 4.4862
_cell_length_c 9.0152
_cell_angle_alpha 90.00
_cell_angle_beta 103.11
_cell_angle_gamma 90.00
_symmetry_space_group_name_H-M 'C 1 2/m 1'
_symmetry_Int_Tables_number 12
_symmetry_space_group_name_Hall '-C 2y'
loop_
_atom_site_label
_atom_site_type_symbol
_atom_site_fract_x
_atom_site_fract_y
_atom_site_fract_z
Ca1 Ca 0.0019 0.0000 0.2422
Ca2 Ca 0.1628 0.5000 0.0883
Te1 Te 0.0000 0.5000 0.0000
I1 I 0.0000 0.5000 0.5000
I2 I 0.1660 0.0000 0.3321
I3 I 0.1683 0.0000 0.8368
```

## Properties
ΔE_f (raw) = -1.494 eV/atom
volume = 38.71 Å³/atom

***

Entry 6:
Below is a relaxed Rb3Ca2PbCl9 crystal, with properties calculated at the GGA-PBE level.

The structure in CIF format:
```
data_Rb3Ca2PbCl9
_chemical_formula_sum 'Rb3 Ca2 Pb1 Cl9'
_cell_length_a 7.8015
_cell_length_b 7.8015
_cell_length_c 9.5880
_cell_angle_alpha 90.00
_cell_angle_beta 90.00
_cell_angle_gamma 120.00
_symmetry_space_group_name_H-M 'P -3 m 1'
_symmetry_Int_Tables_number 164
_symmetry_space_group_name_Hall '-P 3 2"'
loop_
_atom_site_label
_atom_site_type_symbol
_atom_site_fract_x
_atom_site_fract_y
_atom_site_fract_z
Rb1 Rb 0.0000 0.0000 0.0000
Rb2 Rb 0.3333 0.6667 0.6684
Ca1 Ca 0.3333 0.6667 0.1586
Pb1 Pb 0.0000 0.0000 0.5000
Cl1 Cl 0.0000 0.5000 0.0000
Cl2 Cl 0.1710 0.3421 0.3251
```

## Properties
ΔE_f (raw) = -1.975 eV/atom
volume = 33.69 Å³/atom

***

Entry 7:
Below is a relaxed AsC2 crystal, with properties calculated at the GGA-PBE level.

The structure in CIF format:
```
data_AsC2
_chemical_formula_sum 'As1 C2'
_cell_length_a 2.5398
_cell_length_b 4.4182
_cell_length_c 4.4892
_cell_angle_alpha 85.04
_cell_angle_beta 89.62
_cell_angle_gamma 73.30
_symmetry_space_group_name_H-M 'P 1'
_symmetry_Int_Tables_number 1
_symmetry_space_group_name_Hall 'P 1'
loop_
_atom_site_label
_atom_site_type_symbol
_atom_site_fract_x
_atom_site_fract_y
_atom_site_fract_z
As1 As 0.0000 0.0000 0.0000
C1 C 0.2185 0.5578 0.1917
C2 C 0.7948 0.4063 0.1919
```

## Properties
energy of formation = 66.5 kJ per mole of atoms
ΔE to the lowest computed polymorph = 1.013 eV per formula unit
volume = 16.02 Å³/atom

***

Entry 8:
Below is a relaxed SrScInHg crystal, with properties calculated at the GGA-PBE level.

The structure in CIF format:
```
data_SrScInHg
_chemical_formula_sum 'Sr4 Sc4 In4 Hg4'
_cell_length_a 7.5882
_cell_length_b 7.5882
_cell_length_c 7.5882
_cell_angle_alpha 90.00
_cell_angle_beta 90.00
_cell_angle_gamma 90.00
_symmetry_space_group_name_H-M 'F -4 3 m'
_symmetry_Int_Tables_number 216
_symmetry_space_group_name_Hall 'F -4 2 3'
loop_
_atom_site_label
_atom_site_type_symbol
_atom_site_fract_x
_atom_site_fract_y
_atom_site_fract_z
Sr1 Sr 0.0000 0.0000 0.0000
Sc1 Sc 0.0000 0.0000 0.5000
In1 In 0.2500 0.2500 0.7500
Hg1 Hg 0.2500 0.2500 0.2500
```

## Properties
energy of formation = -32.4 kJ per mole of atoms
volume = 27.31 Å³/atom

***

Entry 9:
Below is a relaxed LiSnSeI2 crystal, with properties calculated at the GGA-PBE level.

The structure in CIF format:
```
data_LiSnSeI2
_chemical_formula_sum 'Li1 Sn1 Se1 I2'
_cell_length_a 6.0763
_cell_length_b 6.0763
_cell_length_c 5.5809
_cell_angle_alpha 90.00
_cell_angle_beta 90.00
_cell_angle_gamma 90.00
_symmetry_space_group_name_H-M 'P 4/m m m'
_symmetry_Int_Tables_number 123
_symmetry_space_group_name_Hall '-P 4 2'
loop_
_atom_site_label
_atom_site_type_symbol
_atom_site_fract_x
_atom_site_fract_y
_atom_site_fract_z
Li1 Li 0.0000 0.0000 0.0000
Sn1 Sn 0.5000 0.5000 0.0000
Se1 Se 0.5000 0.5000 0.5000
I1 I 0.0000 0.5000 0.5000
```

## Properties
ΔE_f (raw) = 0.109 eV/atom
volume = 41.21 Å³/atom

***

Entry 10:
Below is a relaxed AcPSe4 crystal, with properties calculated at the GGA-PBE level.

The structure in CIF format:
```
data_AcPSe4
_chemical_formula_sum 'Ac4 P4 Se16'
_cell_length_a 9.9747
_cell_length_b 9.9747
_cell_length_c 7.8683
_cell_angle_alpha 90.00
_cell_angle_beta 90.00
_cell_angle_gamma 90.00
_symmetry_space_group_name_H-M 'I 41/a m d'
_symmetry_Int_Tables_number 141
loop_
_symmetry_equiv_pos_as_xyz
'x,y,z'
'-x,-y,-z'
'-y+1/4,x+3/4,z+1/4'
'y+1/4,-x+3/4,-z+1/4'
'-x+1/2,-y,z+1/2'
'x+1/2,y,-z+1/2'
'y+1/4,-x+1/4,z+3/4'
'-y+1/4,x+1/4,-z+3/4'
'x,-y,-z'
'-x,y,z'
'-y+1/4,-x+1/4,-z+3/4'
'y+1/4,x+1/4,z+3/4'
'-x+1/2,y,-z+1/2'
'x+1/2,-y,z+1/2'
'y+1/4,x+3/4,-z+1/4'
'-y+1/4,-x+3/4,z+1/4'
'x+1/2,y+1/2,z+1/2'
'-x+1/2,-y+1/2,-z+1/2'
'-y+3/4,x+1/4,z+3/4'
'y+3/4,-x+1/4,-z+3/4'
'-x,-y+1/2,z'
'x,y+1/2,-z'
'y+3/4,-x+3/4,z+1/4'
'-y+3/4,x+3/4,-z+1/4'
'x+1/2,-y+1/2,-z+1/2'
'-x+1/2,y+1/2,z+1/2'
'-y+3/4,-x+3/4,-z+1/4'
'y+3/4,x+3/4,z+1/4'
'-x,y+1/2,-z'
'x,-y+1/2,z'
'y+3/4,x+1/4,-z+3/4'
'-y+3/4,-x+1/4,z+3/4'
loop_
_atom_site_label
_atom_site_type_symbol
_atom_site_fract_x
_atom_site_fract_y
_atom_site_fract_z
Ac1 Ac 0.0000 0.2500 0.3750
P1 P 0.0000 0.2500 0.8750
Se1 Se 0.0000 0.0744 0.6979
```

## Properties
ΔE_f (raw) = -0.788 eV/atom
volume = 32.62 Å³/atom